No. 1
Si2NiRh PBE-GGA relaxed; energy relative to the elements, uncorrected = -184.1 meV per atom
1.0
-7.645 -0.250 -0.276
-7.050 -2.935 0.518
-7.189 -0.859 2.483
Ni Rh Si
1 1 2
Direct
0.508 0.508 0.508 Ni
0.745 0.745 0.745 Rh
0.001 0.001 0.001 Si
0.246 0.246 0.246 Si

---

No. 2
Na2SeO5 PBE-GGA relaxed; energy above the lowest structure with this stoichiometry = 357 meV/atom; energy relative to the elements, uncorrected = -390.0 meV per atom
1.0
3.331 -5.443 0.000
3.331 5.443 0.000
0.000 0.000 8.999
Na Se O
4 2 10
Direct
0.000 0.000 0.500 Na
0.000 0.000 0.000 Na
0.296 0.704 0.750 Na
0.704 0.296 0.250 Na
0.784 0.216 0.750 Se
0.216 0.784 0.250 Se
0.925 0.075 0.250 O
0.075 0.925 0.750 O
0.649 0.966 0.873 O
0.966 0.649 0.127 O
0.649 0.966 0.627 O
0.966 0.649 0.373 O
0.351 0.034 0.127 O
0.034 0.351 0.873 O
0.351 0.034 0.373 O
0.034 0.351 0.627 O

---

No. 3
NaPmNdAl PBE-GGA relaxed; calculated formation energy = -5.43 kJ per mole of atoms
1.0
-1.886 4.462 -2.432
1.020 0.860 -5.254
-4.003 -0.381 -3.635
Na Nd Al Pm
1 1 1 1
Direct
0.750 0.750 0.750 Na
0.500 0.500 0.500 Nd
0.250 0.250 0.250 Al
0.000 0.000 0.000 Pm

---

What did the third record say?
NaPmNdAl PBE-GGA relaxed; calculated formation energy = -5.43 kJ per mole of atoms
1.0
-1.886 4.462 -2.432
1.020 0.860 -5.254
-4.003 -0.381 -3.635
Na Nd Al Pm
1 1 1 1
Direct
0.750 0.750 0.750 Na
0.500 0.500 0.500 Nd
0.250 0.250 0.250 Al
0.000 0.000 0.000 Pm

---

What did the second record say?
Na2SeO5 PBE-GGA relaxed; energy above the lowest structure with this stoichiometry = 357 meV/atom; energy relative to the elements, uncorrected = -390.0 meV per atom
1.0
3.331 -5.443 0.000
3.331 5.443 0.000
0.000 0.000 8.999
Na Se O
4 2 10
Direct
0.000 0.000 0.500 Na
0.000 0.000 0.000 Na
0.296 0.704 0.750 Na
0.704 0.296 0.250 Na
0.784 0.216 0.750 Se
0.216 0.784 0.250 Se
0.925 0.075 0.250 O
0.075 0.925 0.750 O
0.649 0.966 0.873 O
0.966 0.649 0.127 O
0.649 0.966 0.627 O
0.966 0.649 0.373 O
0.351 0.034 0.127 O
0.034 0.351 0.873 O
0.351 0.034 0.373 O
0.034 0.351 0.627 O